Entry 1:
Entry from Alexandria: a geometry-optimized SbWSe2 structure (PBE-GGA).

```
SbWSe2
1.0
-7.927 -1.513 -4.610
-8.044 -4.024 -2.340
-9.125 -0.928 -1.497
W Sb Se
1 1 2
Cartesian
-12.545 -3.232 -4.222
-18.992 -4.892 -6.392
-5.678 -1.463 -1.911
-0.428 -0.110 -0.144
```

- raw total energy (eV/atom) = -5.89
- uncorrected formation energy (kcal/mol of atoms) = 2.74

=====

Entry 2:
Entry from Alexandria: a geometry-optimized Nd2InBi structure (PBE-GGA).

```
Nd2InBi
1.0
5.573 0.000 0.000
2.786 4.826 0.000
2.786 1.609 4.550
Nd In Bi
2 1 1
Cartesian
2.786 1.609 1.138
8.359 4.826 3.413
5.573 3.217 2.275
0.000 0.000 0.000
```

- raw total energy (eV/atom) = -4.54
- DFT formation energy (eV per formula unit) = -2.02

=====

Entry 3:
Entry from Alexandria: a geometry-optimized Sb2TePdBr structure (PBE-GGA).

```
Sb2TePdBr
1.0
-5.336 0.758 -0.734
-1.019 -2.729 4.593
0.281 4.802 2.916
Sb Br Pd Te
2 1 1 1
Cartesian
-0.510 -1.365 2.297
-2.668 0.379 -0.367
0.000 0.000 0.000
-3.037 1.415 3.387
0.141 2.401 1.458
```

- raw total energy (eV/atom) = -2.51
- uncorrected formation energy (kcal/mol of atoms) = 26.30

=====

Entry 4:
Entry from Alexandria: a geometry-optimized Ba3Hg6Au5 structure (PBE-GGA).

```
Ba3Hg6Au5
1.0
-3.284 3.426 -1.206
-7.134 -7.507 -1.903
-4.449 0.672 14.026
Au Hg Ba
10 12 6
Cartesian
-9.098 -6.055 7.575
-6.350 1.269 10.957
-5.498 -5.786 -1.467
-3.303 0.808 1.350
-7.697 -6.267 3.157
-6.552 -1.426 3.849
-7.631 -1.263 7.250
-7.818 -3.523 11.282
-4.448 -4.032 0.658
-5.502 0.327 5.973
-7.255 -4.005 8.378
-8.194 -0.782 10.154
-10.799 -6.794 10.107
-4.650 2.008 8.425
-7.651 -7.269 0.183
-5.613 -2.466 -1.662
-3.349 1.811 4.324
-2.525 0.019 6.932
-5.329 -1.214 1.121
-5.671 -4.244 3.385
-8.475 -5.477 -2.426
-5.387 -2.993 6.169
-1.891 -1.990 -0.504
-4.825 -1.378 9.228
-7.876 -3.824 0.643
-3.124 -1.635 3.863
-10.623 -3.409 9.304
-9.109 -3.468 5.011
```

- raw total energy (eV/atom) = -2.17
- DFT formation energy (eV per formula unit) = -6.43